Here is an optimized crystal structure of Sc3MnP from Alexandria. Energies are from GGA-PBE.

Unit cell a=4.6926 b=4.6926 c=4.6926 alpha=90.00 beta=90.00 gamma=90.00
Last column: nearest neighbours and their distance in Å.
Fractional positions:
Sc: 0.0000 0.0000 0.5000  2 Mn 2.35
Sc: 0.0000 0.5000 0.0000  2 Mn 2.35
Sc: 0.5000 0.0000 0.0000  2 Mn 2.35
Mn: 0.0000 0.0000 0.0000  6 Sc 2.35
P: 0.5000 0.5000 0.5000  12 Sc 3.32

## Properties
Calculated total energy ... -0.483 Ry/atom
Energy of formation ... 139 meV/atom